## Rb2TlW (PBE)

Data for Rb2TlW after structural relaxation.

abc: 13.174 13.174 13.174
angles: 160.98 160.98 27.03
Element x y z (fractional)
Rb: 0.124 0.625 0.999
Rb: 0.375 0.374 0.499
Rb: 0.626 0.125 0.001
Rb: 0.875 0.876 0.501
Tl: 0.250 0.750 0.500
Tl: 0.500 0.500 0.000
W: 0.000 0.000 0.000
W: 0.750 0.250 0.500

Properties
As for the total energy: -2.73 eV/atom. The calculation puts the formation energy from the elements at 1.583 eV per atom. The value obtained for the energy relative to the lowest polymorph listed for this composition is 0.021 eV/atom.